Material: EuYCuRh
Method: DFT, GGA-PBE
State: relaxed

The total energy comes out at -7.43 eV/atom. The size of the total moment comes out at 28.310 Bohr magnetons per cell. The calculation puts the formation energy at -380 meV/atom.

The space group is F-43m (No. 216) and the conventional cell measures 7.0137, 7.0137 and 7.0137 Å, with angles of 90.00, 90.00 and 90.00 degrees. The inequivalent atoms are Eu at (0.0000, 0.0000, 0.0000), Y at (0.0000, 0.0000, 0.5000), Cu at (0.2500, 0.2500, 0.7500) and Rh at (0.2500, 0.2500, 0.2500).


Material: ScSbSe2N
Method: DFT, GGA-PBE
State: relaxed

The calculation puts the distance to the lowest polymorph of the same formula at 0.279 eV/atom. The total energy comes out at -4.89 eV/atom. The size of the total moment comes out at 0.443 Bohr magnetons per cell. The value obtained for the formation energy from raw total energies is 1.31 eV/f.u.

The space group is P4/mmm (No. 123) and the conventional cell measures 5.3406, 5.3406 and 3.9251 Å, with angles of 90.00, 90.00 and 90.00 degrees. The inequivalent atoms are Sc at (0.0000, 0.0000, 0.0000), Sb at (0.5000, 0.5000, 0.5000), Se at (0.0000, 0.5000, 0.5000) and N at (0.5000, 0.5000, 0.0000).


Material: ZnCoPb
Method: DFT, GGA-PBE
State: relaxed

The calculation puts the distance to the lowest polymorph of the same formula at 0.000 eV/atom. The total energy comes out at -3.75 eV/atom. The size of the total moment comes out at 0.004 Bohr magnetons per cell. The calculation puts the formation energy at 276 meV/atom.

The space group is F-43m (No. 216) and the conventional cell measures 6.0659, 6.0659 and 6.0659 Å, with angles of 90.00, 90.00 and 90.00 degrees. The inequivalent atoms are Zn at (0.0000, 0.0000, 0.0000), Co at (0.2500, 0.2500, 0.7500) and Pb at (0.0000, 0.0000, 0.5000).


Material: LiScIn
Method: DFT, GGA-PBE
State: relaxed

The total energy comes out at -3.96 eV/atom. The size of the total moment comes out at 0.222 Bohr magnetons per cell. The calculation puts the formation energy at -296 meV/atom.

The space group is P6_3/mmc (No. 194) and the conventional cell measures 4.7503, 4.7503 and 6.3723 Å, with angles of 90.00, 90.00 and 120.00 degrees. The inequivalent atoms are Li at (0.3333, 0.6667, 0.2500), Sc at (0.0000, 0.0000, 0.0000) and In at (0.3333, 0.6667, 0.7500).


Question: Which value of size of the total moment does entry 1 give?
Answer: 28.310 Bohr magnetons per cell


Question: What is the formula in the fourth record?
Answer: LiScIn